1.
Here is an optimized crystal structure of TeMoPCl2 from the Alexandria database. Energies are from PBE. Values from VASP.

electronic total energy: -4.392 eV/atom
E_form (uncorrected): 0.223 eV/atom
relative energy among the computed polymorphs: 0.0 meV per atom
Fermi-level density of states: 0.901 states/eV per atom
volume: 111.7 Å³/cell

```
&SYSTEM
  ibrav = 0, nat = 5, ntyp = 4
/
ATOMIC_SPECIES
Te 127.60 Te.upf
Mo 95.94 Mo.upf
P 30.97 P.upf
Cl 35.45 Cl.upf
ATOMIC_POSITIONS crystal
Te 0.000 0.000 0.000
Mo 0.500 0.500 0.500
P 0.500 0.500 0.000
Cl 0.000 0.500 0.500
Cl 0.500 0.000 0.500
CELL_PARAMETERS angstrom
4.660 0.000 0.000
0.000 4.660 0.000
0.000 0.000 5.143
```



2.
Here is an optimized crystal structure of TaRe2Au from the Alexandria database. Energies are from PBE. Values from VASP.

electronic total energy: -9.807 eV/atom
relative energy among the computed polymorphs: 129.9 meV per atom
Fermi-level density of states: 0.739 states/eV per atom
volume: 65.3 Å³/cell
energy of formation: 199 meV per atom

```
&SYSTEM
  ibrav = 0, nat = 4, ntyp = 3
/
ATOMIC_SPECIES
Ta 180.95 Ta.upf
Re 186.21 Re.upf
Au 196.97 Au.upf
ATOMIC_POSITIONS crystal
Ta 0.000 0.000 0.000
Re 0.254 0.254 0.753
Re 0.746 0.746 0.247
Au 0.500 0.500 0.500
CELL_PARAMETERS angstrom
4.626 -1.485 0.000
4.626 1.485 0.000
-1.010 0.000 4.755
```



3.
Here is an optimized crystal structure of TbHoGeRu from the Alexandria database. Energies are from PBE. Values from VASP.

electronic total energy: -6.404 eV/atom
relative energy among the computed polymorphs: 0.0 meV per atom
Fermi-level density of states: 0.461 states/eV per atom
volume: 88.9 Å³/cell
energy of formation: -629 meV per atom

```
&SYSTEM
  ibrav = 0, nat = 4, ntyp = 4
/
ATOMIC_SPECIES
Tb 158.93 Tb.upf
Ho 164.93 Ho.upf
Ge 72.64 Ge.upf
Ru 101.07 Ru.upf
ATOMIC_POSITIONS crystal
Tb 0.000 0.000 0.000
Ho 0.500 0.718 0.718
Ge 0.500 0.422 0.422
Ru 0.000 0.268 0.268
CELL_PARAMETERS angstrom
3.859 0.000 0.000
0.000 2.120 5.432
0.000 -2.120 5.432
```



4.
Here is an optimized crystal structure of BaSb3C from the Alexandria database. Energies are from PBE. Values from VASP.

electronic total energy: -4.220 eV/atom
E_form (uncorrected): 0.483 eV/atom
relative energy among the computed polymorphs: 0.0 meV per atom
Fermi-level density of states: 1.011 states/eV per atom
volume: 130.2 Å³/cell

```
&SYSTEM
  ibrav = 0, nat = 5, ntyp = 3
/
ATOMIC_SPECIES
Ba 137.33 Ba.upf
Sb 121.76 Sb.upf
C 12.01 C.upf
ATOMIC_POSITIONS crystal
Ba 0.000 0.000 0.000
Sb 0.000 0.500 0.500
Sb 0.500 0.000 0.500
Sb 0.500 0.500 0.000
C 0.500 0.500 0.500
CELL_PARAMETERS angstrom
5.068 0.000 0.000
0.000 5.068 0.000
0.000 0.000 5.068
```



5.
Here is an optimized crystal structure of MgAlTl2F6 from the Alexandria database. Energies are from PBE. Values from VASP.

electronic total energy: -4.899 eV/atom
E_form (uncorrected): -2.769 eV/atom
Fermi-level density of states: 0.137 states/eV per atom
volume: 160.3 Å³/cell

```
&SYSTEM
  ibrav = 0, nat = 10, ntyp = 4
/
ATOMIC_SPECIES
Mg 24.30 Mg.upf
Al 26.98 Al.upf
Tl 204.38 Tl.upf
F 19.00 F.upf
ATOMIC_POSITIONS crystal
Mg 0.000 0.000 0.000
Al 0.500 0.500 0.000
Tl 0.259 0.741 0.500
Tl 0.741 0.259 0.500
F 0.260 0.740 0.000
F 0.273 0.273 0.177
F 0.273 0.273 0.823
F 0.727 0.727 0.177
F 0.727 0.727 0.823
F 0.740 0.260 0.000
CELL_PARAMETERS angstrom
3.017 -3.758 0.000
3.017 3.758 0.000
0.000 0.000 7.069
```



6.
Here is an optimized crystal structure of Ta2CrAg from the Alexandria database. Energies are from PBE. Values from VASP.

electronic total energy: -8.656 eV/atom
relative energy among the computed polymorphs: 179.3 meV per atom
Fermi-level density of states: 1.079 states/eV per atom
volume: 65.9 Å³/cell
energy of formation: 389 meV per atom

```
&SYSTEM
  ibrav = 0, nat = 4, ntyp = 3
/
ATOMIC_SPECIES
Ta 180.95 Ta.upf
Cr 52.00 Cr.upf
Ag 107.87 Ag.upf
ATOMIC_POSITIONS crystal
Ta 0.250 0.250 0.250
Ta 0.750 0.750 0.750
Cr 0.000 0.000 0.000
Ag 0.500 0.500 0.500
CELL_PARAMETERS angstrom
0.000 3.206 3.206
3.206 0.000 3.206
3.206 3.206 0.000
```



7.
Here is an optimized crystal structure of AcLaSm3 from the Alexandria database. Energies are from PBE. Values from VASP.

electronic total energy: -4.599 eV/atom
relative energy among the computed polymorphs: 14.0 meV per atom
Fermi-level density of states: 1.496 states/eV per atom
volume: 731.0 Å³/cell
energy of formation: 40 meV per atom

```
&SYSTEM
  ibrav = 0, nat = 20, ntyp = 3
/
ATOMIC_SPECIES
Ac 227.00 Ac.upf
La 138.91 La.upf
Sm 150.36 Sm.upf
ATOMIC_POSITIONS crystal
Ac 0.000 0.250 0.143
Ac 0.000 0.750 0.857
Ac 0.500 0.250 0.357
Ac 0.500 0.750 0.643
La 0.249 0.250 0.750
La 0.251 0.750 0.250
La 0.749 0.250 0.750
La 0.751 0.750 0.250
Sm 0.000 0.250 0.363
Sm 0.000 0.750 0.637
Sm 0.245 0.250 0.550
Sm 0.246 0.750 0.450
Sm 0.254 0.250 0.950
Sm 0.255 0.750 0.050
Sm 0.500 0.250 0.137
Sm 0.500 0.750 0.863
Sm 0.745 0.250 0.950
Sm 0.746 0.750 0.050
Sm 0.754 0.250 0.550
Sm 0.755 0.750 0.450
CELL_PARAMETERS angstrom
7.305 0.000 0.000
0.000 5.719 0.000
0.000 0.000 17.498
```



8.
Here is an optimized crystal structure of LaIn2GaAu2 from the Alexandria database. Energies are from PBE. Values from VASP.

electronic total energy: -3.496 eV/atom
Fermi-level density of states: 0.725 states/eV per atom
volume: 167.5 Å³/cell
energy of formation: -165 meV per atom

```
&SYSTEM
  ibrav = 0, nat = 6, ntyp = 4
/
ATOMIC_SPECIES
La 138.91 La.upf
In 114.82 In.upf
Ga 69.72 Ga.upf
Au 196.97 Au.upf
ATOMIC_POSITIONS crystal
La 0.000 0.000 0.000
In 0.250 0.750 0.500
In 0.750 0.250 0.500
Ga 0.500 0.500 0.000
Au 0.281 0.281 0.000
Au 0.719 0.719 0.000
CELL_PARAMETERS angstrom
-2.725 2.725 5.641
2.725 -2.725 5.641
2.725 2.725 -5.641
```